No. 1
Compound: ZrNiAs
Source: OQMD
Functional: PBE
Structure: optimized geometry

Cell and atoms, written as POSCAR:
```
ZrNiAs
1.0
6.5252 0.0000 0.0000
0.0000 3.9092 0.0000
0.0000 0.0000 7.3489
Zr Ni As
4 4 4
Direct
0.0128 0.2500 0.1870 Zr
0.4872 0.7500 0.6871 Zr
0.5128 0.2500 0.3130 Zr
0.9872 0.7500 0.8129 Zr
0.1647 0.2500 0.5738 Ni
0.3353 0.7500 0.0738 Ni
0.6647 0.2500 0.9262 Ni
0.8353 0.7500 0.4262 Ni
0.2168 0.7500 0.3941 As
0.2832 0.2500 0.8941 As
0.7168 0.7500 0.1059 As
0.7832 0.2500 0.6059 As
```

**E_tot**: -85.873 eV for the cell shown
**Space group**: Pnma (62)
**Calculated density**: 7.97 g/cm3



No. 2
Compound: SmInFe
Source: OQMD
Functional: PBE
Structure: optimized geometry

Cell and atoms, written as POSCAR:
```
SmInFe
1.0
0.0000 3.2855 3.2855
3.2855 0.0000 3.2855
3.2855 3.2855 0.0000
Sm In Fe
1 1 1
Direct
0.0000 0.0000 0.0000 Sm
0.5000 0.5000 0.5000 In
0.7500 0.7500 0.7500 Fe
```

**E_tot**: -15.265 eV for the cell shown
**Space group**: F-43m (216)
**Calculated density**: 7.52 g/cm3



No. 3
Compound: SmTeAsO
Source: OQMD
Functional: PBE
Structure: optimized geometry

Cell and atoms, written as POSCAR:
```
SmTeAsO
1.0
3.7866 0.0000 0.0000
0.0000 6.8737 0.0000
0.0000 0.0000 8.0079
Sm Te As O
2 2 2 2
Direct
0.0000 0.1804 0.0000 Sm
0.0000 0.8196 0.5000 Sm
0.5000 0.3715 0.5569 Te
0.5000 0.6285 0.0569 Te
0.0000 0.4377 0.3170 As
0.0000 0.5623 0.8170 As
0.5000 0.0817 0.9053 O
0.5000 0.9183 0.4053 O
```

**E_tot**: -45.093 eV for the cell shown
**Space group**: Pmc2_1 (26)
**Calculated density**: 5.88 g/cm3
**Offset from the most stable computed form**: 19.6 meV per atom



No. 4
Compound: GdNbPO
Source: OQMD
Functional: PBE
Structure: optimized geometry

Cell and atoms, written as POSCAR:
```
GdNbPO
1.0
4.5986 0.0000 0.0000
0.0000 5.8268 0.0000
0.0000 0.0000 5.6632
Gd Nb P O
2 2 2 2
Direct
0.0000 0.2452 0.0000 Gd
0.0000 0.7548 0.5000 Gd
0.5000 0.3492 0.5831 Nb
0.5000 0.6508 0.0831 Nb
0.0000 0.2443 0.5055 P
0.0000 0.7557 0.0055 P
0.5000 0.3222 0.9468 O
0.5000 0.6778 0.4468 O
```

**E_tot**: -62.104 eV for the cell shown
**Space group**: Pmc2_1 (26)
**Calculated density**: 6.50 g/cm3
**Offset from the most stable computed form**: 489.9 meV per atom



No. 5
Compound: Be2GeIr
Source: OQMD
Functional: PBE
Structure: optimized geometry

Cell and atoms, written as POSCAR:
```
Be2GeIr
1.0
0.0000 2.8799 2.8799
2.8799 0.0000 2.8799
2.8799 2.8799 0.0000
Be Ge Ir
2 1 1
Direct
0.0000 0.0000 0.0000 Be
0.2500 0.2500 0.2500 Be
0.5000 0.5000 0.5000 Ge
0.7500 0.7500 0.7500 Ir
```

**E_tot**: -20.769 eV for the cell shown
**Space group**: F-43m (216)
**Calculated density**: 9.83 g/cm3



No. 6
Compound: Li3Lu3SiPb2
Source: OQMD
Functional: PBE
Structure: optimized geometry

Cell and atoms, written as POSCAR:
```
Li3Lu3SiPb2
1.0
7.2160 0.0000 0.0000
-3.6080 6.2492 0.0000
0.0000 0.0000 4.4191
Li Lu Si Pb
3 3 1 2
Direct
0.0000 0.7780 0.0000 Li
0.2220 0.2220 0.0000 Li
0.7780 0.0000 0.0000 Li
0.0000 0.4022 0.5000 Lu
0.4022 0.0000 0.5000 Lu
0.5978 0.5978 0.5000 Lu
0.0000 0.0000 0.5000 Si
0.3333 0.6667 0.0000 Pb
0.6667 0.3333 0.0000 Pb
```

**E_tot**: -36.160 eV for the cell shown
**Space group**: P-62m (189)
**Calculated density**: 8.23 g/cm3



What did the first record say?
Compound: ZrNiAs
Source: OQMD
Functional: PBE
Structure: optimized geometry

Cell and atoms, written as POSCAR:
```
ZrNiAs
1.0
6.5252 0.0000 0.0000
0.0000 3.9092 0.0000
0.0000 0.0000 7.3489
Zr Ni As
4 4 4
Direct
0.0128 0.2500 0.1870 Zr
0.4872 0.7500 0.6871 Zr
0.5128 0.2500 0.3130 Zr
0.9872 0.7500 0.8129 Zr
0.1647 0.2500 0.5738 Ni
0.3353 0.7500 0.0738 Ni
0.6647 0.2500 0.9262 Ni
0.8353 0.7500 0.4262 Ni
0.2168 0.7500 0.3941 As
0.2832 0.2500 0.8941 As
0.7168 0.7500 0.1059 As
0.7832 0.2500 0.6059 As
```

**E_tot**: -85.873 eV for the cell shown
**Space group**: Pnma (62)
**Calculated density**: 7.97 g/cm3



> Number 1 is which compound?

ZrNiAs